(one)
Here is a relaxed Ce2YTm crystal from Alexandria via LeMat-Bulk. Energies are from PBE.

- total moment (μB/atom) = 0.389

Cell: 3.467 3.467 10.097 Å, 90.00 90.00 90.00°
Space group P4/mmm (No. 123)
Unique sites:
Ce (0.000, 0.000, 0.246) (multiplicity 2)
Y (0.500, 0.500, 0.500) (multiplicity 1)
Tm (0.500, 0.500, 0.000) (multiplicity 1)

(two)
Here is a relaxed Ce2YTm crystal from Alexandria via LeMat-Bulk. Energies are from PBE.

- total moment (μB/atom) = 0.000

Cell: 6.476 11.404 6.386 Å, 90.00 92.44 90.00°
Space group C2/c (No. 15)
Unique sites:
Ce (0.217, 0.233, 0.286) (multiplicity 8)
Y (0.000, 0.500, 0.000) (multiplicity 4)
Tm (0.000, 0.037, 0.750) (multiplicity 4)

(three)
Here is a relaxed Ce2YTm crystal from Alexandria via LeMat-Bulk. Energies are from PBE.

- total moment (μB/atom) = 0.408

Cell: 7.953 7.953 7.953 Å, 90.00 90.00 90.00°
Space group Fm-3m (No. 225)
Unique sites:
Ce (0.250, 0.250, 0.250) (multiplicity 8)
Y (0.000, 0.000, 0.000) (multiplicity 4)
Tm (0.000, 0.000, 0.500) (multiplicity 4)

Of them, (three) has the lowest stability.

(one)
Here is a relaxed Ce2YTm crystal from Alexandria via LeMat-Bulk. Energies are from PBE.

- total moment (μB/atom) = 0.400

Cell: 3.4828 3.4828 34.4896 Å, 90.00 90.00 120.00°
Space group R3m (No. 160, hexagonal axes)
Unique sites:
Ce (0.0000, 0.0000, 0.0000) (multiplicity 3)
Ce (0.0000, 0.0000, 0.1636) (multiplicity 3)
Y (0.0000, 0.0000, 0.5834) (multiplicity 3)
Tm (0.0000, 0.0000, 0.4142) (multiplicity 3)

(two)
Here is a relaxed Ce2YTm crystal from Alexandria via LeMat-Bulk. Energies are from PBE.

- total moment (μB/atom) = 0.396

Cell: 4.909 4.909 5.035 Å, 90.00 90.00 90.00°
Space group P4/mmm (No. 123)
Unique sites:
Ce (0.000, 0.500, 0.000) (multiplicity 2)
Y (0.000, 0.000, 0.500) (multiplicity 1)
Tm (0.500, 0.500, 0.500) (multiplicity 1)

(three)
Here is a relaxed Ce2YTm crystal from Alexandria via LeMat-Bulk. Energies are from PBE.

- total moment (μB/atom) = 0.376

Cell: 3.3446 3.3446 36.9598 Å, 90.00 90.00 120.00°
Space group R-3m (No. 166, hexagonal axes)
Unique sites:
Ce (0.0000, 0.0000, 0.0847) (multiplicity 6)
Y (0.0000, 0.0000, 0.5000) (multiplicity 3)
Tm (0.0000, 0.0000, 0.0000) (multiplicity 3)

Of them, (three) has the lowest stability.

(one)
Here is a relaxed CeY2Tm4 crystal from Alexandria via LeMat-Bulk. Energies are from PBE.

- total moment (μB/atom) = 0.099

Cell: 6.156 3.556 19.887 Å, 90.00 95.94 90.00°
Space group Cm (No. 8)
Unique sites:
Ce (0.000, 0.000, 0.000) (multiplicity 2)
Y (0.094, 0.000, 0.287) (multiplicity 2)
Y (0.190, 0.000, 0.573) (multiplicity 2)
Tm (0.286, 0.000, 0.856) (multiplicity 2)
Tm (0.308, 0.500, 0.431) (multiplicity 2)
Tm (0.381, 0.000, 0.144) (multiplicity 2)
Tm (0.405, 0.500, 0.717) (multiplicity 2)

(two)
Here is a relaxed CeY2Tm4 crystal from Alexandria via LeMat-Bulk. Energies are from PBE.

- total moment (μB/atom) = 0.150

Cell: 3.591 22.497 5.561 Å, 90.00 90.00 90.00°
Space group Cmmm (No. 65)
Unique sites:
Ce (0.000, 0.000, 0.000) (multiplicity 2)
Y (0.000, 0.430, 0.500) (multiplicity 4)
Tm (0.000, 0.193, 0.500) (multiplicity 4)
Tm (0.000, 0.328, 0.000) (multiplicity 4)

Of them, (two) has the lowest stability.

(one)
Here is a relaxed CeY3Tm crystal from Alexandria via LeMat-Bulk. Energies are from PBE.

- total moment (μB/atom) = 0.275

Cell: 6.168 17.503 11.999 Å, 90.00 97.09 90.00°
Space group C2/c (No. 15)
Unique sites:
Ce (0.000, 0.115, 0.250) (multiplicity 4)
Ce (0.000, 0.236, 0.750) (multiplicity 4)
Y (0.005, 0.263, 0.087) (multiplicity 8)
Y (0.099, 0.407, 0.899) (multiplicity 8)
Y (0.142, 0.084, 0.534) (multiplicity 8)
Tm (0.225, 0.444, 0.185) (multiplicity 8)

(two)
Here is a relaxed CeY3Tm crystal from Alexandria via LeMat-Bulk. Energies are from PBE.

- total moment (μB/atom) = 0.162

Cell: 3.601 8.453 11.076 Å, 106.68 99.35 90.01°
Space group P-1 (No. 2)
Unique sites:
Ce (0.187, 0.382, 0.373) (multiplicity 2)
Y (0.017, 0.214, 0.034) (multiplicity 2)
Y (0.217, 0.817, 0.435) (multiplicity 2)
Y (0.416, 0.415, 0.832) (multiplicity 2)
Tm (0.384, 0.982, 0.767) (multiplicity 2)

Of them, (one) has the lowest stability.

(one)
Here is a relaxed CeY4Tm6 crystal from Alexandria via LeMat-Bulk. Energies are from PBE.

- total moment (μB/atom) = 0.139

Cell: 7.597 7.597 13.058 Å, 90.00 90.00 90.00°
Space group I-42m (No. 121)
Unique sites:
Ce (0.000, 0.000, 0.000) (multiplicity 2)
Y (0.170, 0.170, 0.422) (multiplicity 8)
Tm (0.000, 0.500, 0.000) (multiplicity 4)
Tm (0.242, 0.242, 0.180) (multiplicity 8)

(two)
Here is a relaxed CeY4Tm6 crystal from Alexandria via LeMat-Bulk. Energies are from PBE.

- total moment (μB/atom) = 0.067

Cell: 5.602 9.662 25.492 Å, 90.00 90.00 90.00°
Space group Cmcm (No. 63)
Unique sites:
Ce (0.000, 0.170, 0.250) (multiplicity 4)
Y (0.000, 0.165, 0.541) (multiplicity 8)
Y (0.000, 0.496, 0.622) (multiplicity 8)
Tm (0.000, 0.163, 0.682) (multiplicity 8)
Tm (0.000, 0.170, 0.103) (multiplicity 8)
Tm (0.000, 0.496, 0.750) (multiplicity 4)
Tm (0.000, 0.500, 0.000) (multiplicity 4)

Of them, (one) has the lowest stability.

(one)
Here is a relaxed CeY6Tm2 crystal from Alexandria via LeMat-Bulk. Energies are from PBE.

- total moment (μB/atom) = 0.143

Cell: 16.505 11.594 6.017 Å, 90.00 96.78 90.00°
Space group C2/c (No. 15)
Unique sites:
Ce (0.000, 0.155, 0.250) (multiplicity 4)
Y (0.064, 0.388, 0.544) (multiplicity 8)
Y (0.103, 0.113, 0.799) (multiplicity 8)
Y (0.226, 0.112, 0.382) (multiplicity 8)
Tm (0.170, 0.354, 0.082) (multiplicity 8)

(two)
Here is a relaxed CeY6Tm2 crystal from Alexandria via LeMat-Bulk. Energies are from PBE.

- total moment (μB/atom) = 0.126

Cell: 8.497 9.030 15.337 Å, 90.00 92.62 90.00°
Space group C2/c (No. 15)
Unique sites:
Ce (0.000, 0.228, 0.250) (multiplicity 4)
Y (0.046, 0.223, 0.477) (multiplicity 8)
Y (0.189, 0.446, 0.882) (multiplicity 8)
Y (0.226, 0.071, 0.880) (multiplicity 8)
Tm (0.136, 0.246, 0.686) (multiplicity 8)

Of them, (two) has the lowest stability.

(one)
Here is a relaxed Ce3TmZn8 crystal from Alexandria via LeMat-Bulk. Energies are from PBE.

- total moment (μB/atom) = 0.153

Cell: 5.4888 5.4888 26.7666 Å, 90.00 90.00 120.00°
Space group R3m (No. 160, hexagonal axes)
Unique sites:
Ce (0.0000, 0.0000, 0.0000) (multiplicity 3)
Ce (0.0000, 0.0000, 0.1209) (multiplicity 3)
Ce (0.0000, 0.0000, 0.6271) (multiplicity 3)
Tm (0.0000, 0.0000, 0.5009) (multiplicity 3)
Zn (0.0000, 0.0000, 0.3124) (multiplicity 3)
Zn (0.0000, 0.0000, 0.8120) (multiplicity 3)
Zn (0.0039, 0.5019, 0.0634) (multiplicity 9)
Zn (0.1676, 0.3351, 0.8941) (multiplicity 9)

(two)
Here is a relaxed Ce3TmZn8 crystal from Alexandria via LeMat-Bulk. Energies are from PBE.

- total moment (μB/atom) = 0.159

Cell: 5.5972 5.5972 8.5597 Å, 90.00 90.00 120.00°
Space group P3m1 (No. 156)
Unique sites:
Ce (0.0000, 0.0000, 0.0000) (multiplicity 1)
Ce (0.0000, 0.0000, 0.3395) (multiplicity 1)
Ce (0.3333, 0.6667, 0.8656) (multiplicity 1)
Tm (0.3333, 0.6667, 0.4864) (multiplicity 1)
Zn (0.0008, 0.5004, 0.1763) (multiplicity 3)
Zn (0.3257, 0.1629, 0.6693) (multiplicity 3)
Zn (0.6667, 0.3333, 0.4234) (multiplicity 1)
Zn (0.6667, 0.3333, 0.9203) (multiplicity 1)

Of them, (two) has the lowest stability.

(one)
Here is a relaxed CeTmZn4 crystal from Alexandria via LeMat-Bulk. Energies are from PBE.

- total moment (μB/atom) = 0.069

Cell: 4.544 6.914 7.732 Å, 90.00 90.00 90.00°
Space group Immm (No. 71)
Unique sites:
Ce (0.000, 0.000, 0.000) (multiplicity 2)
Tm (0.000, 0.500, 0.000) (multiplicity 2)
Zn (0.000, 0.262, 0.333) (multiplicity 8)

(two)
Here is a relaxed CeTmZn4 crystal from Alexandria via LeMat-Bulk. Energies are from PBE.

- total moment (μB/atom) = 0.057

Cell: 7.718 7.718 7.718 Å, 90.00 90.00 90.00°
Space group F-43m (No. 216)
Unique sites:
Ce (0.000, 0.000, 0.000) (multiplicity 4)
Tm (0.250, 0.250, 0.750) (multiplicity 4)
Zn (0.125, 0.125, 0.375) (multiplicity 16)

Of them, (two) has the lowest stability.

(one)
Here is a relaxed Ce2UZn crystal from Alexandria via LeMat-Bulk. Energies are from PBE.

- total moment (μB/atom) = 0.407

Cell: 2.9880 2.9880 36.2322 Å, 90.00 90.00 120.00°
Space group R-3m (No. 166, hexagonal axes)
Unique sites:
Ce (0.0000, 0.0000, 0.0860) (multiplicity 6)
U (0.0000, 0.0000, 0.5000) (multiplicity 3)
Zn (0.0000, 0.0000, 0.0000) (multiplicity 3)

(two)
Here is a relaxed Ce2UZn crystal from Alexandria via LeMat-Bulk. Energies are from PBE.

- total moment (μB/atom) = 0.458

Cell: 2.961 2.961 10.024 Å, 90.00 90.00 90.00°
Space group P4/mmm (No. 123)
Unique sites:
Ce (0.000, 0.000, 0.241) (multiplicity 2)
U (0.500, 0.500, 0.500) (multiplicity 1)
Zn (0.500, 0.500, 0.000) (multiplicity 1)

(three)
Here is a relaxed Ce2UZn crystal from Alexandria via LeMat-Bulk. Energies are from PBE.

- total moment (μB/atom) = 1.001

Cell: 4.706 4.706 4.235 Å, 90.00 90.00 90.00°
Space group P4/mmm (No. 123)
Unique sites:
Ce (0.000, 0.500, 0.000) (multiplicity 2)
U (0.000, 0.000, 0.500) (multiplicity 1)
Zn (0.500, 0.500, 0.500) (multiplicity 1)

Of them, (one) has the lowest stability.